No. 1
! GGA-PBE TbSm2CrN4, optimized geometry; values from VASP
! * V: 14.83 Å³ per atom
! * crystal system: orthorhombic
! * space group: Cmcm (63)
&SYSTEM
  ibrav = 0, nat = 16, ntyp = 4
/
ATOMIC_SPECIES
Tb 158.93 Tb.upf
Sm 150.36 Sm.upf
Cr 52.00 Cr.upf
N 14.01 N.upf
CELL_PARAMETERS angstrom
-0.249 2.880 1.828
-5.642 -1.658 -1.356
-0.529 -6.453 10.092
ATOMIC_POSITIONS angstrom
Tb -1.689 -4.888 7.470
Tb -4.731 -0.343 3.094
Sm -4.528 -3.664 5.154
Sm -1.673 1.105 1.230
Sm -1.892 -1.567 5.410
Sm -4.747 -6.336 9.334
Cr -4.440 -3.548 8.183
Cr -1.980 -1.683 2.381
N -3.201 -1.002 1.143
N -3.099 -2.770 7.140
N -3.219 -4.229 9.422
N -3.320 -2.461 3.424
N -0.264 -3.226 5.046
N 0.000 0.000 0.000
N -5.314 -5.026 7.192
N -1.105 -0.205 3.372

---

No. 2
! GGA-PBE Sm2ThCrN4, optimized geometry; values from VASP
! * V: 15.03 Å³ per atom
! * crystal system: orthorhombic
! * space group: Cmcm (63)
&SYSTEM
  ibrav = 0, nat = 16, ntyp = 4
/
ATOMIC_SPECIES
Sm 150.36 Sm.upf
Th 232.04 Th.upf
Cr 52.00 Cr.upf
N 14.01 N.upf
CELL_PARAMETERS angstrom
3.448 0.000 0.000
-1.724 5.844 0.000
0.000 0.000 11.939
ATOMIC_POSITIONS angstrom
Sm 0.000 4.303 6.523
Sm 1.724 1.541 0.553
Sm 1.724 1.541 5.416
Sm 0.000 4.303 11.385
Th 0.000 1.189 8.954
Th 1.724 4.655 2.985
Cr 1.724 3.951 8.954
Cr 0.000 1.892 2.985
N 0.000 3.206 1.622
N 1.724 2.638 7.592
N 1.724 2.638 10.317
N 0.000 3.206 4.347
N 0.000 0.000 5.969
N 0.000 0.000 0.000
N 0.000 5.091 8.954
N 1.724 0.753 2.985

---

No. 3
! GGA-PBE SmThCrN3, optimized geometry; values from VASP
! * V: 16.68 Å³ per atom
! * crystal system: monoclinic
! * space group: P2_1/m (11)
&SYSTEM
  ibrav = 0, nat = 12, ntyp = 4
/
ATOMIC_SPECIES
Sm 150.36 Sm.upf
Th 232.04 Th.upf
Cr 52.00 Cr.upf
N 14.01 N.upf
CELL_PARAMETERS angstrom
3.630 0.000 0.000
0.000 7.047 1.133
0.000 -1.657 7.557
ATOMIC_POSITIONS angstrom
Sm 2.723 4.679 7.322
Sm 0.908 0.711 1.367
Th 0.908 4.161 2.063
Th 2.723 1.229 6.627
Cr 0.908 -0.473 4.534
Cr 2.723 5.863 4.156
N 0.908 5.416 4.226
N 2.723 5.930 2.106
N 2.723 2.549 1.419
N 2.723 -0.025 4.464
N 0.908 2.841 7.271
N 0.908 -0.540 6.584

---

No. 4
! GGA-PBE SmThCrN4, optimized geometry; values from VASP
! * V: 14.60 Å³ per atom
! * crystal system: monoclinic
! * space group: P2_1/m (11)
&SYSTEM
  ibrav = 0, nat = 14, ntyp = 4
/
ATOMIC_SPECIES
Sm 150.36 Sm.upf
Th 232.04 Th.upf
Cr 52.00 Cr.upf
N 14.01 N.upf
CELL_PARAMETERS angstrom
5.796 0.000 0.075
0.000 5.411 0.000
-2.182 0.000 6.490
ATOMIC_POSITIONS angstrom
Sm 2.099 4.059 6.072
Sm 1.515 1.353 0.492
Th 3.510 4.059 2.956
Th 0.104 1.353 3.608
Cr 0.703 4.059 1.924
Cr 2.912 1.353 4.641
N 3.995 2.690 4.924
N -0.380 5.396 1.640
N -0.380 2.722 1.640
N 3.995 0.016 4.924
N 2.196 4.059 0.933
N 1.419 1.353 5.631
N 1.122 4.059 3.658
N 2.493 1.353 2.906

---

no.,uncorrected formation energy (eV per atom),E (eV per atom)
1,-1.09,-8.21
2,-1.15,-8.62
3,-1.13,-8.92
4,-1.08,-8.95